[1]
Below is a relaxed Sc4CuHg3 crystal, with properties calculated at the PBE level.

The structure in POSCAR format:
```
Sc4CuHg3
1.0
3.380 0.000 0.000
0.000 3.380 0.000
0.000 0.000 14.559
Sc Cu Hg
4 1 3
Direct
0.000 0.000 0.107
0.000 0.000 0.370
0.000 0.000 0.630
0.000 0.000 0.893
0.500 0.500 0.000
0.500 0.500 0.239
0.500 0.500 0.500
0.500 0.500 0.761
```

Calculated values
Energy relative to the elements in eV/atom: -0.38
Space-group type: P4/mmm (123)

---

[2]
Below is a relaxed Cd2SbPd4 crystal, with properties calculated at the PBE level.

The structure in POSCAR format:
```
Cd2SbPd4
1.0
-3.335 3.335 2.990
3.335 -3.335 2.990
3.335 3.335 -2.990
Cd Sb Pd
2 1 4
Direct
0.000 0.500 0.500
0.500 0.000 0.500
0.000 0.000 0.000
0.000 0.000 0.500
0.000 0.500 0.000
0.500 0.000 0.000
0.500 0.500 0.500
```

Calculated values
ΔE_f (raw) in eV per atom: -0.264
Space-group type: I4/mmm (139)
E above lowest polymorph in eV/atom: 0.0122

---

[3]
Below is a relaxed Al2PbCl8 crystal, with properties calculated at the PBE level.

The structure in POSCAR format:
```
Al2PbCl8
1.0
9.385 -4.397 0.000
9.385 4.397 0.000
-7.873 0.000 9.372
Al Pb Cl
4 2 16
Direct
0.142 0.665 0.958
0.335 0.858 0.542
0.665 0.142 0.458
0.858 0.335 0.042
0.480 0.520 0.750
0.520 0.480 0.250
0.117 0.169 0.031
0.142 0.632 0.765
0.169 0.117 0.531
0.236 0.664 0.357
0.262 0.402 0.966
0.336 0.764 0.143
0.368 0.858 0.735
0.402 0.262 0.466
0.598 0.738 0.534
0.632 0.142 0.265
0.664 0.236 0.857
0.738 0.598 0.034
0.764 0.336 0.643
0.831 0.883 0.469
0.858 0.368 0.235
0.883 0.831 0.969
```

Calculated values
ΔE_f (raw) in eV per atom: -1.448
Space-group type: C2/c (15)
E above lowest polymorph in eV/atom: 0.0135

---

[4]
Below is a relaxed HfZr9In2 crystal, with properties calculated at the PBE level.

The structure in POSCAR format:
```
HfZr9In2
1.0
4.491 0.000 0.000
0.000 4.491 0.000
0.000 0.000 13.504
Hf Zr In
1 9 2
Direct
0.000 0.000 0.000
0.000 0.500 0.166
0.000 0.500 0.500
0.000 0.500 0.834
0.500 0.000 0.166
0.500 0.000 0.500
0.500 0.000 0.834
0.500 0.500 0.000
0.500 0.500 0.337
0.500 0.500 0.663
0.000 0.000 0.334
0.000 0.000 0.666
```

Calculated values
Energy relative to the elements in eV/atom: -0.15
Space-group type: P4/mmm (123)

---

[5]
Below is a relaxed HRhI2O crystal, with properties calculated at the PBE level.

The structure in POSCAR format:
```
HRhI2O
1.0
5.675 0.000 0.000
0.000 5.675 0.000
0.000 0.000 3.696
H Rh I O
1 1 2 1
Direct
0.000 0.000 0.000
0.500 0.500 0.500
0.000 0.500 0.500
0.500 0.000 0.500
0.500 0.500 0.000
```

Calculated values
Space-group type: P4/mmm (123)
E above lowest polymorph in eV/atom: 0.0000

---

[6]
Below is a relaxed PtNO2F crystal, with properties calculated at the PBE level.

The structure in POSCAR format:
```
PtNO2F
1.0
3.821 0.000 0.000
0.000 3.821 0.000
0.000 0.000 3.347
Pt N O F
1 1 2 1
Direct
0.000 0.000 0.000
0.500 0.500 0.500
0.000 0.500 0.500
0.500 0.000 0.500
0.500 0.500 0.000
```

Calculated values
ΔE_f (raw) in eV per atom: 1.371
Space-group type: P4/mmm (123)

---

[7]
Below is a relaxed Mg6Ag3Ir crystal, with properties calculated at the PBE level.

The structure in POSCAR format:
```
Mg6Ag3Ir
1.0
8.237 0.000 0.000
0.000 4.599 0.000
-2.550 0.000 9.645
Mg Ag Ir
12 6 2
Direct
0.041 0.250 0.402
0.145 0.750 0.188
0.279 0.250 0.995
0.358 0.250 0.291
0.361 0.750 0.826
0.437 0.250 0.606
0.563 0.750 0.394
0.639 0.250 0.174
0.642 0.750 0.709
0.721 0.750 0.005
0.855 0.250 0.812
0.959 0.750 0.598
0.050 0.750 0.898
0.150 0.250 0.704
0.256 0.750 0.494
0.744 0.250 0.506
0.850 0.750 0.296
0.950 0.250 0.102
0.441 0.750 0.117
0.559 0.250 0.883
```

Calculated values
Energy relative to the elements in eV/atom: -0.23
Space-group type: P2_1/m (11)

---

[8]
Below is a relaxed CaZn2Cu crystal, with properties calculated at the PBE level.

The structure in POSCAR format:
```
CaZn2Cu
1.0
3.213 0.000 0.000
0.000 3.213 0.000
0.000 0.000 7.061
Ca Zn Cu
1 2 1
Direct
0.000 0.000 0.000
0.500 0.500 0.310
0.500 0.500 0.690
0.000 0.000 0.500
```

Calculated values
Energy relative to the elements in eV/atom: -0.10
Space-group type: P4/mmm (123)

---

Question: What is the formula in the fourth record?
Answer: HfZr9In2